Entry 1:
LaPmHgPd after structural relaxation, computed with PBE.

Computed properties:
Crystal system: cubic
Formation enthalpy at 0 K (kJ per mole of atoms): -55.45
Symmetry: F-43m (216)

Lattice parameters (Å, degrees): 5.3112 5.3112 5.3112 60.00 60.00 60.00
With the nearest neighbours (Å) after each atom.
Element x y z (fractional)
Hg 0.5000 0.5000 0.5000  4 La 3.25, 4 Pm 3.25
La 0.7500 0.7500 0.7500  4 Hg 3.25, 4 Pd 3.25
Pd 0.0000 0.0000 0.0000  4 Pm 3.25, 4 La 3.25
Pm 0.2500 0.2500 0.2500  4 Hg 3.25, 4 Pd 3.25


Entry 2:
Sr2LaAg9 after structural relaxation, computed with PBE.

Computed properties:
Crystal system: trigonal
Formation enthalpy at 0 K (kJ per mole of atoms): -17.85
Symmetry: R-3m (166)

Lattice parameters (Å, degrees): 5.8039 5.8039 10.1093 73.32 73.32 60.00
With the nearest neighbours (Å) after each atom.
Element x y z (fractional)
Ag 0.3326 0.3326 0.0023  6 Ag 2.86-2.90
Sr 0.1414 0.1414 0.5757  12 Ag 3.37-3.57, 3 Sr 3.65
Ag 0.5000 0.5000 0.5000  6 Ag 2.95
Ag 0.4183 0.4183 0.2455  7 Ag 2.86-2.95
Ag 0.9180 0.4183 0.2455  7 Ag 2.86-2.95
La 0.0000 0.0000 0.0000  18 Ag 3.35-3.73
Ag 0.5817 0.5817 0.7545  7 Ag 2.86-2.95
Ag 0.6674 0.6674 0.9977  6 Ag 2.86-2.90
Sr 0.8586 0.8586 0.4243  12 Ag 3.37-3.57, 3 Sr 3.65
Ag 0.5817 0.0820 0.7545  7 Ag 2.86-2.95
Ag 0.4183 0.9180 0.2455  7 Ag 2.86-2.95
Ag 0.0820 0.5817 0.7545  7 Ag 2.86-2.95


Entry 3:
La2BCl after structural relaxation, computed with PBE.

Computed properties:
Distance to the lowest polymorph of the same formula (eV per atom): 0.366
Crystal system: cubic
Symmetry: Fm-3m (225)

Lattice parameters (Å, degrees): 4.9967 4.9967 4.9967 60.00 60.00 60.00
With the nearest neighbours (Å) after each atom.
Element x y z (fractional)
B 0.0000 0.0000 0.0000  8 La 3.06
Cl 0.5000 0.5000 0.5000  8 La 3.06
La 0.7500 0.7500 0.7500  4 B 3.06, 4 Cl 3.06
La 0.2500 0.2500 0.2500  4 Cl 3.06, 4 B 3.06


Entry 4:
CsBa2AsI after structural relaxation, computed with PBE.

Computed properties:
Crystal system: tetragonal
Symmetry: P4/mmm (123)
VASP energy (eV/atom): -1.774

Lattice parameters (Å, degrees): 6.9038 6.2622 6.9038 90.00 90.00 90.00
With the nearest neighbours (Å) after each atom.
Element x y z (fractional)
Ba 0.0000 0.0000 0.5000  2 Cs 3.45
Ba 0.5000 0.0000 0.0000  2 Cs 3.45
As 0.5000 0.5000 0.5000  8 Ba 4.66, 4 I 4.88
Cs 0.0000 0.0000 0.0000  2 I 3.13, 4 Ba 3.45
I 0.0000 0.5000 0.0000  2 Cs 3.13


Entry 5:
TbPr3Sm4 after structural relaxation, computed with PBE.

Computed properties:
Distance to the lowest polymorph of the same formula (eV per atom): 0.000
Crystal system: orthorhombic
Formation enthalpy at 0 K (kJ per mole of atoms): 3.08
Symmetry: Pmn2_1 (31)

Lattice parameters (Å, degrees): 6.3827 7.3850 11.8082 90.00 90.00 90.00
With the nearest neighbours (Å) after each atom.
Element x y z (fractional)
Sm 0.6476 0.1232 0.0000  6 Sm 3.62-3.68, 4 Pr 3.65-3.71, 2 Tb 3.68-3.69
Tb 0.1471 0.3729 0.0000  6 Sm 3.62-3.72, 6 Pr 3.64-3.70
Pr 0.4813 0.3743 0.7499  4 Pr 3.64-3.69, 6 Sm 3.64-3.70, 2 Tb 3.64-3.65
Pr 0.9813 0.6257 0.2499  4 Pr 3.64-3.69, 6 Sm 3.64-3.70, 2 Tb 3.64-3.65
Sm 0.4804 0.8759 0.2520  1 Tb 3.62, 6 Sm 3.62-3.68, 5 Pr 3.66-3.70
Sm 0.1476 0.8768 0.5000  6 Sm 3.62-3.68, 4 Pr 3.65-3.71, 2 Tb 3.68-3.69
Sm 0.6490 0.1240 0.5000  6 Sm 3.62-3.68, 4 Pr 3.64-3.69, 2 Tb 3.67-3.72
Tb 0.6471 0.6271 0.5000  6 Sm 3.62-3.72, 6 Pr 3.64-3.70
Pr 0.9813 0.6257 0.7501  4 Pr 3.64-3.69, 6 Sm 3.64-3.70, 2 Tb 3.64-3.65
Pr 0.4813 0.3743 0.2501  4 Pr 3.64-3.69, 6 Sm 3.64-3.70, 2 Tb 3.64-3.65
Sm 0.1490 0.8760 0.0000  6 Sm 3.62-3.68, 4 Pr 3.64-3.69, 2 Tb 3.67-3.72
Sm 0.4804 0.8759 0.7480  1 Tb 3.62, 6 Sm 3.62-3.68, 5 Pr 3.66-3.70
Sm 0.9804 0.1241 0.7520  1 Tb 3.62, 6 Sm 3.62-3.68, 5 Pr 3.66-3.70
Pr 0.1481 0.3740 0.5000  4 Pr 3.64-3.65, 6 Sm 3.66-3.71, 2 Tb 3.69-3.70
Pr 0.6481 0.6260 0.0000  4 Pr 3.64-3.65, 6 Sm 3.66-3.71, 2 Tb 3.69-3.70
Sm 0.9804 0.1241 0.2480  1 Tb 3.62, 6 Sm 3.62-3.68, 5 Pr 3.66-3.70


Entry 6:
BaZr3 after structural relaxation, computed with PBE.

Computed properties:
Distance to the lowest polymorph of the same formula (eV per atom): 0.204
Crystal system: hexagonal
Formation enthalpy at 0 K (kJ per mole of atoms): 50.17
Symmetry: P6_3/mmc (194)

Lattice parameters (Å, degrees): 6.9706 6.9706 5.4263 90.00 90.00 120.00
With the nearest neighbours (Å) after each atom.
Element x y z (fractional)
Zr 0.8523 0.1477 0.2500  6 Zr 3.09-3.25
Zr 0.1477 0.2954 0.7500  6 Zr 3.09-3.25
Zr 0.1477 0.8523 0.7500  6 Zr 3.09-3.25
Zr 0.8523 0.7046 0.2500  6 Zr 3.09-3.25
Zr 0.7046 0.8523 0.7500  6 Zr 3.09-3.25
Ba 0.6667 0.3333 0.7500  12 Zr 3.49-3.52
Zr 0.2954 0.1477 0.2500  6 Zr 3.09-3.25
Ba 0.3333 0.6667 0.2500  12 Zr 3.49-3.52


Entry 7:
Tm6Bi3SbTe2 after structural relaxation, computed with PBE.

Computed properties:
Crystal system: monoclinic
Symmetry: C2/m (12)
VASP energy (eV/atom): -5.066

Lattice parameters (Å, degrees): 7.5900 7.5900 7.5620 99.58 99.58 120.09
With the nearest neighbours (Å) after each atom.
Element x y z (fractional)
Tm 0.7576 0.7576 0.2517  1 Sb 3.05, 3 Bi 3.10-3.13, 2 Te 3.12
Te 0.3342 0.6658 0.0000  6 Tm 3.11-3.12
Bi 0.5000 0.5000 0.5000  6 Tm 3.08-3.13
Tm 0.9174 0.5908 0.7515  1 Sb 3.05, 3 Bi 3.08-3.12, 2 Te 3.11-3.12
Tm 0.0826 0.4092 0.2485  1 Sb 3.05, 3 Bi 3.08-3.12, 2 Te 3.11-3.12
Bi 0.8303 0.1697 0.5000  6 Tm 3.08-3.12
Te 0.6658 0.3342 0.0000  6 Tm 3.11-3.12
Tm 0.2424 0.2424 0.7483  1 Sb 3.05, 3 Bi 3.10-3.13, 2 Te 3.12
Tm 0.4092 0.0826 0.2485  1 Sb 3.05, 3 Bi 3.08-3.12, 2 Te 3.11-3.12
Bi 0.1697 0.8303 0.5000  6 Tm 3.08-3.12
Sb 0.0000 0.0000 0.0000  6 Tm 3.05
Tm 0.5908 0.9174 0.7515  1 Sb 3.05, 3 Bi 3.08-3.12, 2 Te 3.11-3.12


Entry 8:
Ca2CuBSb after structural relaxation, computed with PBE.

Computed properties:
Crystal system: tetragonal
Symmetry: P4/mmm (123)
VASP energy (eV/atom): -3.950

Lattice parameters (Å, degrees): 5.3787 3.9028 5.3787 90.00 90.00 90.00
With the nearest neighbours (Å) after each atom.
Element x y z (fractional)
B 0.0000 0.0000 0.0000  2 Cu 1.95
Ca 0.5000 0.0000 0.0000  2 B 2.69
Cu 0.0000 0.5000 0.0000  2 B 1.95
Sb 0.5000 0.5000 0.5000  8 Ca 3.32
Ca 0.0000 0.0000 0.5000  2 B 2.69


Entry 9:
CrHgAs3 after structural relaxation, computed with PBE.

Computed properties:
Distance to the lowest polymorph of the same formula (eV per atom): 0.000
Crystal system: cubic
Formation enthalpy at 0 K (kJ per mole of atoms): 32.68
Symmetry: Pm-3m (221)

Lattice parameters (Å, degrees): 4.7200 4.7200 4.7200 90.00 90.00 90.00
With the nearest neighbours (Å) after each atom.
Element x y z (fractional)
As 0.0000 0.0000 0.5000  2 Cr 2.36
As 0.5000 0.0000 0.0000  2 Cr 2.36
Cr 0.0000 0.0000 0.0000  6 As 2.36
As 0.0000 0.5000 0.0000  2 Cr 2.36
Hg 0.5000 0.5000 0.5000  12 As 3.34


Entry 10:
Sc2Si2Ni after structural relaxation, computed with PBE.

Computed properties:
Crystal system: tetragonal
Symmetry: I4/mmm (139)
VASP energy (eV/atom): -6.125

Lattice parameters (Å, degrees): 7.9985 7.9985 7.9985 155.40 155.40 35.06
With the nearest neighbours (Å) after each atom.
Element x y z (fractional)
Sc 0.3993 0.3993 0.0000  4 Si 2.84, 4 Ni 2.86, 1 Sc 3.07
Si 0.7500 0.2500 0.5000  4 Si 2.41
Sc 0.6007 0.6007 0.0000  4 Si 2.84, 4 Ni 2.86, 1 Sc 3.07
Si 0.2500 0.7500 0.5000  4 Si 2.41
Ni 0.0000 0.0000 0.0000  8 Sc 2.86


Entry 11:
TiTcO2F after structural relaxation, computed with PBE.

Computed properties:
Crystal system: tetragonal
Symmetry: P4/mmm (123)
VASP energy (eV/atom): -6.856

Lattice parameters (Å, degrees): 3.9052 3.9052 4.1373 90.00 90.00 90.00
With the nearest neighbours (Å) after each atom.
Element x y z (fractional)
O 0.5000 0.0000 0.0000  2 Tc 1.95
Ti 0.5000 0.5000 0.5000  4 F 2.76, 8 O 2.84
Tc 0.0000 0.0000 0.0000  4 O 1.95, 2 F 2.07
O 0.0000 0.5000 0.0000  2 Tc 1.95
F 0.0000 0.0000 0.5000  2 Tc 2.07


Entry 12:
Pm4Ga2Br3 after structural relaxation, computed with PBE.

Computed properties:
Crystal system: monoclinic
Symmetry: C2/m (12)
VASP energy (eV/atom): -4.438

Lattice parameters (Å, degrees): 4.1380 4.1380 18.5954 90.05 89.95 120.00
With the nearest neighbours (Å) after each atom.
Element x y z (fractional)
Ga 0.6673 0.3327 0.7967  6 Pm 2.96-3.01
Br 0.6656 0.3344 0.3989  3 Pm 3.00
Pm 0.0008 0.9992 0.6984  3 Br 3.00, 3 Ga 3.01
Br 0.3344 0.6656 0.6011  3 Pm 3.00
Pm 0.3337 0.6663 0.8909  3 Ga 2.96, 3 Br 3.13
Ga 0.3327 0.6673 0.2033  6 Pm 2.96-3.01
Pm 0.6663 0.3337 0.1091  3 Ga 2.96, 3 Br 3.13
Pm 0.9992 0.0008 0.3016  3 Br 3.00, 3 Ga 3.01
Br 0.0000 0.0000 0.0000  6 Pm 3.13


Question: Which formula does entry 6 have?
Answer: BaZr3